Below is crystalline PrTl6Cd23 at its relaxed geometry, with properties calculated at the GGA-PBE level.

Properties
Magnetic moment = 0.00 μB per atom
D(E_F) = 5.45 states/eV/f.u.
Energy of formation = 12 meV/atom

a b c (Å): 10.2115 10.2115 10.2115
angles (deg): 60.00 60.00 60.00
Sites, in units of the cell vectors:
Pr  0.5000  0.5000  0.5000
Tl  0.7279  0.7279  0.2721
Tl  0.2721  0.2721  0.7279
Tl  0.7279  0.2721  0.2721
Tl  0.2721  0.7279  0.7279
Tl  0.7279  0.2721  0.7279
Tl  0.2721  0.7279  0.2721
Cd  0.6264  0.1245  0.1245
Cd  0.3736  0.8755  0.8755
Cd  0.1245  0.1245  0.6264
Cd  0.1245  0.1245  0.1245
Cd  0.8755  0.8755  0.3736
Cd  0.8755  0.8755  0.8755
Cd  0.1245  0.6264  0.1245
Cd  0.8755  0.3736  0.8755
Cd  0.5000  0.5000  0.0000
Cd  0.0000  0.0000  0.5000
Cd  0.5000  0.0000  0.0000
Cd  0.0000  0.5000  0.5000
Cd  0.5000  0.0000  0.5000
Cd  0.0000  0.5000  0.0000
Cd  0.9697  0.3434  0.3434
Cd  0.0303  0.6566  0.6566
Cd  0.3434  0.3434  0.9697
Cd  0.3434  0.3434  0.3434
Cd  0.6566  0.6566  0.0303
Cd  0.6566  0.6566  0.6566
Cd  0.3434  0.9697  0.3434
Cd  0.6566  0.0303  0.6566
Cd  0.0000  0.0000  0.0000